Record 1
! LaZr3Br, optimized geometry, DFT PBE-GGA; values from VASP
&SYSTEM
  ibrav = 0, nat = 5, ntyp = 3
/
ATOMIC_SPECIES
La 138.91 La.upf
Zr 91.22 Zr.upf
Br 79.90 Br.upf
CELL_PARAMETERS angstrom
5.1385 0.0000 0.0000
0.0000 5.1385 0.0000
0.0000 0.0000 5.1385
ATOMIC_POSITIONS crystal
La 0.0000 0.0000 0.0000
Zr 0.0000 0.5000 0.5000
Zr 0.5000 0.0000 0.5000
Zr 0.5000 0.5000 0.0000
Br 0.5000 0.5000 0.5000
! Formation energy (no corrections) (eV per atom): 0.21
! Density (g/cm3): 6.0
! SG: Pm-3m
! Energy (eV/atom): -6.244

=====

Record 2
! LaZrBr, optimized geometry, DFT PBE-GGA; values from VASP
&SYSTEM
  ibrav = 0, nat = 6, ntyp = 3
/
ATOMIC_SPECIES
La 138.91 La.upf
Zr 91.22 Zr.upf
Br 79.90 Br.upf
CELL_PARAMETERS angstrom
3.4310 0.0000 0.0000
0.0000 3.4310 0.0000
0.0000 0.0000 13.6831
ATOMIC_POSITIONS crystal
La 0.0000 0.0000 0.0000
La 0.5000 0.5000 0.5000
Zr 0.0000 0.0000 0.6793
Zr 0.5000 0.5000 0.1793
Br 0.0000 0.0000 0.3124
Br 0.5000 0.5000 0.8124
! Formation energy (no corrections) (eV per atom): -0.38
! Density (g/cm3): 6.4
! SG: I4mm
! Energy (eV/atom): -5.432

=====

Record 3
! LaZrBr4, optimized geometry, DFT PBE-GGA; values from VASP
&SYSTEM
  ibrav = 0, nat = 6, ntyp = 3
/
ATOMIC_SPECIES
La 138.91 La.upf
Zr 91.22 Zr.upf
Br 79.90 Br.upf
CELL_PARAMETERS angstrom
0.0000 4.4501 4.4501
4.4501 0.0000 4.4501
4.4501 4.4501 0.0000
ATOMIC_POSITIONS crystal
La 0.0000 0.0000 0.0000
Zr 0.7500 0.7500 0.7500
Br 0.3753 0.3753 0.3753
Br 0.3753 0.3753 0.8742
Br 0.3753 0.8742 0.3753
Br 0.8742 0.3753 0.3753
! Formation energy (no corrections) (eV per atom): 0.04
! Density (g/cm3): 5.2
! SG: F-43m
! Energy (eV/atom): -3.325

=====

Record 4
! LaZrBr, optimized geometry, DFT PBE-GGA; values from VASP
&SYSTEM
  ibrav = 0, nat = 12, ntyp = 3
/
ATOMIC_SPECIES
La 138.91 La.upf
Zr 91.22 Zr.upf
Br 79.90 Br.upf
CELL_PARAMETERS angstrom
6.9594 0.0000 0.0000
0.0000 6.9594 0.0000
0.0000 0.0000 6.9594
ATOMIC_POSITIONS crystal
La 0.0000 0.0000 0.0000
La 0.0000 0.5000 0.5000
La 0.5000 0.0000 0.5000
La 0.5000 0.5000 0.0000
Zr 0.0000 0.0000 0.5000
Zr 0.0000 0.5000 0.0000
Zr 0.5000 0.0000 0.0000
Zr 0.5000 0.5000 0.5000
Br 0.2500 0.2500 0.2500
Br 0.2500 0.7500 0.7500
Br 0.7500 0.2500 0.7500
Br 0.7500 0.7500 0.2500
! Formation energy (no corrections) (eV per atom): 0.02
! Density (g/cm3): 6.1
! SG: F-43m
! Energy (eV/atom): -5.026

=====

Record 5
! LaZr3Br, optimized geometry, DFT PBE-GGA; values from VASP
&SYSTEM
  ibrav = 0, nat = 5, ntyp = 3
/
ATOMIC_SPECIES
La 138.91 La.upf
Zr 91.22 Zr.upf
Br 79.90 Br.upf
CELL_PARAMETERS angstrom
5.2415 0.0000 0.0000
0.0000 5.2415 0.0000
0.0000 0.0000 5.2415
ATOMIC_POSITIONS crystal
La 0.0000 0.0000 0.0000
Zr 0.0000 0.0000 0.5000
Zr 0.0000 0.5000 0.0000
Zr 0.5000 0.0000 0.0000
Br 0.5000 0.5000 0.5000
! Formation energy (no corrections) (eV per atom): 1.31
! Density (g/cm3): 5.7
! SG: Pm-3m
! Energy (eV/atom): -5.142

=====

Record 6
! LiBr, optimized geometry, DFT PBE-GGA; values from VASP
&SYSTEM
  ibrav = 0, nat = 8, ntyp = 2
/
ATOMIC_SPECIES
Li 6.94 Li.upf
Br 79.90 Br.upf
CELL_PARAMETERS angstrom
3.6915 0.0000 0.0000
0.0000 3.6915 0.0000
0.0000 0.0000 17.1231
ATOMIC_POSITIONS crystal
Li 0.0000 0.2500 0.3750
Li 0.0000 0.7500 0.6250
Li 0.5000 0.2500 0.1250
Li 0.5000 0.7500 0.8750
Br 0.0000 0.2500 0.8750
Br 0.0000 0.7500 0.1250
Br 0.5000 0.2500 0.6250
Br 0.5000 0.7500 0.3750
! Formation energy (no corrections) (eV per atom): -1.42
! Density (g/cm3): 2.5
! SG: I4_1/amd
! Energy (eV/atom): -3.213

=====

Record 7
! LiBr, optimized geometry, DFT PBE-GGA; values from VASP
&SYSTEM
  ibrav = 0, nat = 4, ntyp = 2
/
ATOMIC_SPECIES
Li 6.94 Li.upf
Br 79.90 Br.upf
CELL_PARAMETERS angstrom
4.5548 0.0000 0.0000
0.0000 4.5548 0.0000
0.0000 0.0000 5.3059
ATOMIC_POSITIONS crystal
Li 0.2500 0.7500 0.0000
Li 0.7500 0.2500 0.0000
Br 0.2500 0.2500 0.2217
Br 0.7500 0.7500 0.7783
! Formation energy (no corrections) (eV per atom): -1.50
! Density (g/cm3): 2.6
! SG: P4/nmm
! Energy (eV/atom): -3.295

=====

Record 8
! LiBr4, optimized geometry, DFT PBE-GGA; values from VASP
&SYSTEM
  ibrav = 0, nat = 5, ntyp = 2
/
ATOMIC_SPECIES
Li 6.94 Li.upf
Br 79.90 Br.upf
CELL_PARAMETERS angstrom
5.1833 0.0000 0.0000
0.0000 5.1833 0.0000
0.0000 0.0000 5.1833
ATOMIC_POSITIONS crystal
Li 0.0000 0.0000 0.0000
Br 0.0000 0.0000 0.5000
Br 0.0000 0.5000 0.0000
Br 0.5000 0.0000 0.0000
Br 0.5000 0.5000 0.5000
! Formation energy (no corrections) (eV per atom): -0.11
! Density (g/cm3): 3.9
! SG: Pm-3m
! Energy (eV/atom): -1.832

=====

Record 9
! LiBr2, optimized geometry, DFT PBE-GGA; values from VASP
&SYSTEM
  ibrav = 0, nat = 12, ntyp = 2
/
ATOMIC_SPECIES
Li 6.94 Li.upf
Br 79.90 Br.upf
CELL_PARAMETERS angstrom
4.4344 0.0000 0.0000
0.0000 18.7863 0.0000
0.0000 0.0000 4.8491
ATOMIC_POSITIONS crystal
Li 0.0000 0.2410 0.2500
Li 0.0000 0.7590 0.7500
Li 0.5000 0.2590 0.7500
Li 0.5000 0.7410 0.2500
Br 0.0000 0.1907 0.7500
Br 0.0000 0.4806 0.7500
Br 0.0000 0.5194 0.2500
Br 0.0000 0.8093 0.2500
Br 0.5000 0.0194 0.2500
Br 0.5000 0.3093 0.2500
Br 0.5000 0.6907 0.7500
Br 0.5000 0.9806 0.7500
! Formation energy (no corrections) (eV per atom): -0.99
! Density (g/cm3): 2.7
! SG: Cmcm
! Energy (eV/atom): -2.739

=====

Record 10
! LiBr2, optimized geometry, DFT PBE-GGA; values from VASP
&SYSTEM
  ibrav = 0, nat = 3, ntyp = 2
/
ATOMIC_SPECIES
Li 6.94 Li.upf
Br 79.90 Br.upf
CELL_PARAMETERS angstrom
4.1475 0.0000 0.0000
2.0731 3.7680 0.0000
0.0090 2.2466 5.3419
ATOMIC_POSITIONS crystal
Li 0.0000 0.0000 0.0000
Br 0.6214 0.7561 0.2925
Br 0.6255 0.7491 0.7903
! Formation energy (no corrections) (eV per atom): -0.92
! Density (g/cm3): 3.3
! SG: P1
! Energy (eV/atom): -2.675

=====

Record 11
! LiBr2, optimized geometry, DFT PBE-GGA; values from VASP
&SYSTEM
  ibrav = 0, nat = 3, ntyp = 2
/
ATOMIC_SPECIES
Li 6.94 Li.upf
Br 79.90 Br.upf
CELL_PARAMETERS angstrom
4.2265 0.0000 0.0000
-1.6689 3.9085 0.0000
-1.3173 -1.7549 5.2143
ATOMIC_POSITIONS crystal
Li 0.0000 0.0000 0.0000
Br 0.4240 0.0408 0.7396
Br 0.9259 0.5444 0.2444
! Formation energy (no corrections) (eV per atom): -0.93
! Density (g/cm3): 3.2
! SG: P1
! Energy (eV/atom): -2.687

=====

Record 12
! LiBr2, optimized geometry, DFT PBE-GGA; values from VASP
&SYSTEM
  ibrav = 0, nat = 12, ntyp = 2
/
ATOMIC_SPECIES
Li 6.94 Li.upf
Br 79.90 Br.upf
CELL_PARAMETERS angstrom
11.8027 0.0000 0.0000
0.0000 3.9150 0.0000
-3.3338 0.0000 7.0939
ATOMIC_POSITIONS crystal
Li 0.1109 0.0000 0.3837
Li 0.3891 0.5000 0.6163
Li 0.6109 0.5000 0.3837
Li 0.8891 0.0000 0.6163
Br 0.0501 0.5000 0.8897
Br 0.1746 0.5000 0.6308
Br 0.3254 0.0000 0.3692
Br 0.4499 0.0000 0.1103
Br 0.5501 0.0000 0.8897
Br 0.6746 0.0000 0.6308
Br 0.8254 0.5000 0.3692
Br 0.9499 0.5000 0.1103
! Formation energy (no corrections) (eV per atom): -0.95
! Density (g/cm3): 3.4
! SG: C2/m
! Energy (eV/atom): -2.707

=====

Record 13
! LiBr2, optimized geometry, DFT PBE-GGA; values from VASP
&SYSTEM
  ibrav = 0, nat = 3, ntyp = 2
/
ATOMIC_SPECIES
Li 6.94 Li.upf
Br 79.90 Br.upf
CELL_PARAMETERS angstrom
5.1574 0.0000 0.0000
-2.5787 4.4665 0.0000
0.0000 0.0000 3.8323
ATOMIC_POSITIONS crystal
Li 0.0000 0.0000 0.0000
Br 0.3333 0.6667 0.5000
Br 0.6667 0.3333 0.5000
! Formation energy (no corrections) (eV per atom): -0.41
! Density (g/cm3): 3.1
! SG: P6/mmm
! Energy (eV/atom): -2.165

=====

Record 14
! LiBr, optimized geometry, DFT PBE-GGA; values from VASP
&SYSTEM
  ibrav = 0, nat = 12, ntyp = 2
/
ATOMIC_SPECIES
Li 6.94 Li.upf
Br 79.90 Br.upf
CELL_PARAMETERS angstrom
6.7097 0.0000 0.0000
0.0000 3.8678 0.0000
-2.2322 0.0000 9.6555
ATOMIC_POSITIONS crystal
Li 0.0000 0.0000 0.0000
Li 0.1101 0.0000 0.3358
Li 0.2239 0.0000 0.6714
Li 0.5000 0.5000 0.0000
Li 0.6101 0.5000 0.3358
Li 0.7239 0.5000 0.6714
Br 0.1120 0.5000 0.8358
Br 0.3335 0.5000 0.5031
Br 0.3885 0.0000 0.1687
Br 0.6120 0.0000 0.8358
Br 0.8335 0.0000 0.5031
Br 0.8885 0.5000 0.1687
! Formation energy (no corrections) (eV per atom): -1.52
! Density (g/cm3): 3.5
! SG: Cm
! Energy (eV/atom): -3.311

=====

Record 15
! LiBr2, optimized geometry, DFT PBE-GGA; values from VASP
&SYSTEM
  ibrav = 0, nat = 12, ntyp = 2
/
ATOMIC_SPECIES
Li 6.94 Li.upf
Br 79.90 Br.upf
CELL_PARAMETERS angstrom
5.9783 0.0000 0.0000
-2.9891 5.1774 0.0000
0.0000 0.0000 14.5293
ATOMIC_POSITIONS crystal
Li 0.3333 0.6667 0.1129
Li 0.3333 0.6667 0.3871
Li 0.6667 0.3333 0.6129
Li 0.6667 0.3333 0.8871
Br 0.0000 0.0000 0.0000
Br 0.0000 0.0000 0.5000
Br 0.1651 0.3301 0.2500
Br 0.1651 0.8349 0.2500
Br 0.3301 0.1651 0.7500
Br 0.6699 0.8349 0.2500
Br 0.8349 0.1651 0.7500
Br 0.8349 0.6699 0.7500
! Formation energy (no corrections) (eV per atom): -0.54
! Density (g/cm3): 2.5
! SG: P6_3/mmc
! Energy (eV/atom): -2.290

=====

Record 16
! LiBr, optimized geometry, DFT PBE-GGA; values from VASP
&SYSTEM
  ibrav = 0, nat = 12, ntyp = 2
/
ATOMIC_SPECIES
Li 6.94 Li.upf
Br 79.90 Br.upf
CELL_PARAMETERS angstrom
3.6391 0.0000 0.0000
0.0000 11.4311 0.0000
0.0000 0.0000 6.5567
ATOMIC_POSITIONS crystal
Li 0.0000 0.0000 0.0000
Li 0.0000 0.1498 0.5226
Li 0.0000 0.8502 0.5226
Li 0.5000 0.3502 0.0226
Li 0.5000 0.5000 0.5000
Li 0.5000 0.6498 0.0226
Br 0.0000 0.3374 0.3173
Br 0.0000 0.5000 0.8260
Br 0.0000 0.6626 0.3173
Br 0.5000 0.0000 0.3260
Br 0.5000 0.1626 0.8173
Br 0.5000 0.8374 0.8173
! Formation energy (no corrections) (eV per atom): -1.46
! Density (g/cm3): 3.2
! SG: Imm2
! Energy (eV/atom): -3.255

=====

Record 17
! LiBr, optimized geometry, DFT PBE-GGA; values from VASP
&SYSTEM
  ibrav = 0, nat = 24, ntyp = 2
/
ATOMIC_SPECIES
Li 6.94 Li.upf
Br 79.90 Br.upf
CELL_PARAMETERS angstrom
10.6041 0.0000 0.0000
0.0000 7.0516 0.0000
0.0000 0.0000 7.3127
ATOMIC_POSITIONS crystal
Li 0.0209 0.0202 0.2500
Li 0.0209 0.4798 0.7500
Li 0.2666 0.6587 0.2500
Li 0.2666 0.8413 0.7500
Li 0.3996 0.2500 0.0000
Li 0.3996 0.2500 0.5000
Li 0.6004 0.7500 0.0000
Li 0.6004 0.7500 0.5000
Li 0.7334 0.1587 0.2500
Li 0.7334 0.3413 0.7500
Li 0.9791 0.5202 0.2500
Li 0.9791 0.9798 0.7500
Br 0.0994 0.7500 0.0000
Br 0.0994 0.7500 0.5000
Br 0.2140 0.1903 0.7500
Br 0.2140 0.3097 0.2500
Br 0.4382 0.6031 0.7500
Br 0.4382 0.8969 0.2500
Br 0.5618 0.1031 0.7500
Br 0.5618 0.3969 0.2500
Br 0.7860 0.6903 0.7500
Br 0.7860 0.8097 0.2500
Br 0.9006 0.2500 0.0000
Br 0.9006 0.2500 0.5000
! Formation energy (no corrections) (eV per atom): -1.46
! Density (g/cm3): 3.2
! SG: Pbcm
! Energy (eV/atom): -3.254

=====

Record 18
! LiBr, optimized geometry, DFT PBE-GGA; values from VASP
&SYSTEM
  ibrav = 0, nat = 16, ntyp = 2
/
ATOMIC_SPECIES
Li 6.94 Li.upf
Br 79.90 Br.upf
CELL_PARAMETERS angstrom
7.3621 0.0000 0.0000
0.0000 7.3621 0.0000
0.0000 0.0000 7.3621
ATOMIC_POSITIONS crystal
Li 0.1250 0.1250 0.1250
Li 0.1250 0.6250 0.6250
Li 0.3750 0.3750 0.8750
Li 0.3750 0.8750 0.3750
Li 0.6250 0.1250 0.6250
Li 0.6250 0.6250 0.1250
Li 0.8750 0.3750 0.3750
Li 0.8750 0.8750 0.8750
Br 0.1250 0.1250 0.6250
Br 0.1250 0.6250 0.1250
Br 0.3750 0.3750 0.3750
Br 0.3750 0.8750 0.8750
Br 0.6250 0.1250 0.1250
Br 0.6250 0.6250 0.6250
Br 0.8750 0.3750 0.8750
Br 0.8750 0.8750 0.3750
! Formation energy (no corrections) (eV per atom): -0.73
! Density (g/cm3): 2.9
! SG: Fd-3m
! Energy (eV/atom): -2.525

=====

Record 19
! LiBr, optimized geometry, DFT PBE-GGA; values from VASP
&SYSTEM
  ibrav = 0, nat = 2, ntyp = 2
/
ATOMIC_SPECIES
Li 6.94 Li.upf
Br 79.90 Br.upf
CELL_PARAMETERS angstrom
3.8058 0.0000 0.0000
-1.9029 3.2960 0.0000
0.0000 0.0000 3.5252
ATOMIC_POSITIONS crystal
Li 0.0000 0.0000 0.0000
Br 0.3333 0.6667 0.5000
! Formation energy (no corrections) (eV per atom): -1.42
! Density (g/cm3): 3.3
! SG: P-6m2
! Energy (eV/atom): -3.213

=====

Record 20
! LiBr2, optimized geometry, DFT PBE-GGA; values from VASP
&SYSTEM
  ibrav = 0, nat = 3, ntyp = 2
/
ATOMIC_SPECIES
Li 6.94 Li.upf
Br 79.90 Br.upf
CELL_PARAMETERS angstrom
4.0872 0.0000 0.0000
-2.0436 3.5396 0.0000
0.0000 0.0000 5.1316
ATOMIC_POSITIONS crystal
Li 0.0000 0.0000 0.0000
Br 0.3333 0.6667 0.2538
Br 0.6667 0.3333 0.7462
! Formation energy (no corrections) (eV per atom): -0.74
! Density (g/cm3): 3.7
! SG: P-3m1
! Energy (eV/atom): -2.496

=====

Record 21
! LiBr, optimized geometry, DFT PBE-GGA; values from VASP
&SYSTEM
  ibrav = 0, nat = 12, ntyp = 2
/
ATOMIC_SPECIES
Li 6.94 Li.upf
Br 79.90 Br.upf
CELL_PARAMETERS angstrom
7.2695 0.0000 0.0000
0.0000 7.2695 0.0000
0.0000 0.0000 7.2695
ATOMIC_POSITIONS crystal
Li 0.0000 0.2500 0.5000
Li 0.0000 0.7500 0.5000
Li 0.2500 0.5000 0.0000
Li 0.5000 0.0000 0.2500
Li 0.5000 0.0000 0.7500
Li 0.7500 0.5000 0.0000
Br 0.0000 0.5000 0.2500
Br 0.0000 0.5000 0.7500
Br 0.2500 0.0000 0.5000
Br 0.5000 0.2500 0.0000
Br 0.5000 0.7500 0.0000
Br 0.7500 0.0000 0.5000
! Formation energy (no corrections) (eV per atom): -1.51
! Density (g/cm3): 2.3
! SG: Pm-3n
! Energy (eV/atom): -3.307

=====

Record 22
! LiBr, optimized geometry, DFT PBE-GGA; values from VASP
&SYSTEM
  ibrav = 0, nat = 8, ntyp = 2
/
ATOMIC_SPECIES
Li 6.94 Li.upf
Br 79.90 Br.upf
CELL_PARAMETERS angstrom
5.9032 0.0000 0.0000
0.0000 5.9032 0.0000
0.0000 0.0000 5.9032
ATOMIC_POSITIONS crystal
Li 0.0000 0.0000 0.0000
Li 0.0000 0.5000 0.5000
Li 0.5000 0.0000 0.5000
Li 0.5000 0.5000 0.0000
Br 0.2500 0.2500 0.7500
Br 0.2500 0.7500 0.2500
Br 0.7500 0.2500 0.2500
Br 0.7500 0.7500 0.7500
! Formation energy (no corrections) (eV per atom): -1.55
! Density (g/cm3): 2.8
! SG: F-43m
! Energy (eV/atom): -3.339

=====

Record 23
! LiBr2, optimized geometry, DFT PBE-GGA; values from VASP
&SYSTEM
  ibrav = 0, nat = 12, ntyp = 2
/
ATOMIC_SPECIES
Li 6.94 Li.upf
Br 79.90 Br.upf
CELL_PARAMETERS angstrom
6.7099 0.0000 0.0000
0.0000 6.7099 0.0000
0.0000 0.0000 6.7099
ATOMIC_POSITIONS crystal
Li 0.0000 0.0000 0.0000
Li 0.0000 0.5000 0.5000
Li 0.5000 0.0000 0.5000
Li 0.5000 0.5000 0.0000
Br 0.1244 0.6244 0.8756
Br 0.1244 0.8756 0.3756
Br 0.3756 0.1244 0.8756
Br 0.3756 0.3756 0.3756
Br 0.6244 0.6244 0.6244
Br 0.6244 0.8756 0.1244
Br 0.8756 0.1244 0.6244
Br 0.8756 0.3756 0.1244
! Formation energy (no corrections) (eV per atom): -0.81
! Density (g/cm3): 3.7
! SG: Pa-3
! Energy (eV/atom): -2.566

=====

Record 24
! Li5Br3, optimized geometry, DFT PBE-GGA; values from VASP
&SYSTEM
  ibrav = 0, nat = 16, ntyp = 2
/
ATOMIC_SPECIES
Li 6.94 Li.upf
Br 79.90 Br.upf
CELL_PARAMETERS angstrom
4.7793 -6.2833 0.0000
4.7793 6.2833 0.0000
-4.4169 0.0000 6.3053
ATOMIC_POSITIONS crystal
Li 0.0000 0.0000 0.0000
Li 0.0277 0.2699 0.7991
Li 0.2501 0.4884 0.2781
Li 0.2699 0.0277 0.7991
Li 0.4884 0.2501 0.2781
Li 0.5020 0.5020 0.0068
Li 0.5273 0.7681 0.7992
Li 0.7536 0.9920 0.2770
Li 0.7681 0.5273 0.7992
Li 0.9920 0.7536 0.2770
Br 0.3616 0.8600 0.5225
Br 0.3660 0.8646 0.0360
Br 0.3804 0.3804 0.5738
Br 0.8600 0.3616 0.5225
Br 0.8646 0.3660 0.0360
Br 0.8819 0.8819 0.5708
! Formation energy (no corrections) (eV per atom): -1.01
! Density (g/cm3): 2.4
! SG: Cm
! Energy (eV/atom): -2.833

=====

Record 25
! LiBr2, optimized geometry, DFT PBE-GGA; values from VASP
&SYSTEM
  ibrav = 0, nat = 6, ntyp = 2
/
ATOMIC_SPECIES
Li 6.94 Li.upf
Br 79.90 Br.upf
CELL_PARAMETERS angstrom
3.7277 0.0000 0.0000
0.0000 3.7277 0.0000
0.0000 0.0000 11.5021
ATOMIC_POSITIONS crystal
Li 0.0000 0.0000 0.0000
Li 0.5000 0.5000 0.5000
Br 0.0000 0.0000 0.3764
Br 0.0000 0.0000 0.6236
Br 0.5000 0.5000 0.1236
Br 0.5000 0.5000 0.8764
! Formation energy (no corrections) (eV per atom): -0.68
! Density (g/cm3): 3.5
! SG: I4/mmm
! Energy (eV/atom): -2.435